A geometry-optimized CdBAs2Se structure. Source: the Alexandria database, functional GGA-PBE.

Unit cell a=4.5207 b=4.5207 c=4.5557 alpha=90.00 beta=90.00 gamma=90.00
With the nearest neighbours (Å) after each atom.
Fractional positions:
1 As 0.0000 0.5000 0.0000  2 B 2.26
2 As 0.5000 0.0000 0.0000  2 B 2.26
3 B 0.0000 0.0000 0.0000  4 As 2.26, 2 Se 2.28
4 Se 0.0000 0.0000 0.5000  2 B 2.28
5 Cd 0.5000 0.5000 0.5000  4 Se 3.20, 8 As 3.21

## Properties
As for the energy above the lowest structure with this stoichiometry: 0.0000 eV/atom. Its symmetry is P4/mmm (123). Its total moment is 0.000 μB per formula unit. For the raw formation energy, the calculation gives 0.6848 eV/atom. The calculation puts the total energy at -3.390 eV per atom.